Record 1
# Zr6Os2O, relaxed, DFT PBE
# Spin magnetization (μB per cell): 0.000
# Theoretical density (g cm⁻³): 8.9
# Fermi-level density of states (states/eV/f.u.): 7.26
data_Zr6Os2O
_chemical_formula_sum 'Zr12 Os4 O2'
_cell_length_a 5.9667
_cell_length_b 6.5240
_cell_length_c 10.6345
_cell_angle_alpha 90.00
_cell_angle_beta 121.34
_cell_angle_gamma 90.00
_symmetry_space_group_name_H-M 'P 1 21/c 1'
_symmetry_Int_Tables_number 14
loop_
_symmetry_equiv_pos_as_xyz
'x,y,z'
'-x,-y,-z'
'-x,y+1/2,-z+1/2'
'x,-y+1/2,z+1/2'
loop_
_atom_site_label
_atom_site_fract_x
_atom_site_fract_y
_atom_site_fract_z
Zr1 0.1246 0.1828 0.4433
Zr2 0.2717 0.6810 0.4436
Zr3 0.3744 0.0259 0.2524
Os1 0.1835 0.1087 0.7385
O1 0.5000 0.0000 0.5000

---

Record 2
# ZrOs2O, relaxed, DFT PBE
# Spin magnetization (μB per cell): 0.000
# Theoretical density (g cm⁻³): 11.4
# Fermi-level density of states (states/eV/f.u.): 1.65
data_ZrOs2O
_chemical_formula_sum 'Zr4 Os8 O4'
_cell_length_a 4.7052
_cell_length_b 4.7052
_cell_length_c 12.8592
_cell_angle_alpha 90.00
_cell_angle_beta 90.00
_cell_angle_gamma 90.00
_symmetry_space_group_name_H-M 'I -4 2 d'
_symmetry_Int_Tables_number 122
_symmetry_space_group_name_Hall 'I -4 2bw'
loop_
_atom_site_label
_atom_site_fract_x
_atom_site_fract_y
_atom_site_fract_z
Zr1 0.0000 0.0000 0.0000
Os1 0.0936 0.2500 0.6250
O1 0.0000 0.0000 0.5000

---

Computed values of final energy (unit: eV/atom) for the preceding records, in sequence: -9.494; -8.725.
Computed values of energy relative to the elements, uncorrected (unit: meV/atom) for the preceding records, in sequence: -749; 266.